The following is a GGA+U calculation of a geometry-optimized Li2VCrO4 structure, from the Alexandria database.

Geometry as POSCAR:
```
Li2VCrO4
1.0
-2.635 -3.996 1.936
3.049 -1.901 4.801
-4.175 3.311 5.795
O V Cr Li
12 3 3 6
Direct
0.273 0.489 0.748
0.725 0.006 0.253
0.274 0.326 0.416
0.726 0.674 0.584
0.272 0.834 0.413
0.727 0.511 0.252
0.274 0.159 0.080
0.728 0.166 0.587
0.728 0.336 0.918
0.275 0.994 0.747
0.726 0.841 0.920
0.272 0.664 0.082
0.500 0.500 0.500
0.500 0.665 0.833
0.500 0.335 0.167
0.499 0.836 0.167
0.500 0.000 0.500
0.501 0.164 0.833
0.997 0.840 0.663
0.000 0.500 0.000
0.003 0.325 0.669
0.000 0.000 0.000
0.003 0.160 0.337
0.997 0.675 0.331
```

Results
- ΔE to the lowest computed polymorph (meV per atom) = 1
- total moment (μB/cell) = 15.000
- DOS at the Fermi energy (states/eV/f.u.) = 0.00